## CuRe2Au (SCAN)

Data for CuRe2Au at its PBEsol-relaxed geometry.

Cell and atoms, written as CIF:
```
data_CuRe2Au
_chemical_formula_sum 'Cu4 Re8 Au4'
_cell_length_a 6.1589
_cell_length_b 6.1589
_cell_length_c 6.1589
_cell_angle_alpha 90.00
_cell_angle_beta 90.00
_cell_angle_gamma 90.00
_space_group_name_H-M_alt 'F -4 3 m'
_space_group_IT_number 216
_space_group_name_Hall 'F -4 2 3'
loop_
_atom_site_label
_atom_site_type_symbol
_atom_site_fract_x
_atom_site_fract_y
_atom_site_fract_z
_atom_site_occupancy
Cu1 Cu 0.0000 0.0000 0.0000 1
Re1 Re 0.0000 0.0000 0.5000 1
Re2 Re 0.2500 0.2500 0.7500 1
Au1 Au 0.2500 0.2500 0.2500 1
```

Computed properties:
For the raw total energy, the calculation gives -4.1226 Ry per atom. The value obtained for the size of the total moment is 0.000 μB/f.u. For the calculated volume, the calculation gives 233.6 Å³/cell. The density of states at the Fermi level is 3.96 states/eV/f.u. The excess energy over the best structure of this formula in the dataset comes out at 298 meV/atom. The calculated formation energy is 0.5465 eV/atom.